Material: TiTcF2
Method: DFT, meta-GGA SCAN
State: single point on PBEsol structure

POSCAR file:
```
TiTcF2
1.0
-0.5409 -1.9873 -1.6864
1.6569 -0.5221 -2.0170
4.1081 -5.4772 3.0359
Ti F Tc
1 2 1
Cartesian
2.6121 -3.9933 -0.3338
3.0061 -4.1083 1.7763
2.2180 -3.8782 -2.4438
0.0000 0.0000 0.0000
```

## Properties
formation energy (no corrections): -1543.2 meV per atom
space-group type: R-3m, No. 166
final energy: -16.086 eV/atom